TaSnSeBr2 after structural relaxation. Source: Alexandria, functional PBEsol.

Calculated values
symmetry	P4/mmm (123)
electronic total energy	-4.8770	eV/atom
formation energy from raw total energies	0.003	eV per atom

Cell lengths 5.0897, 5.0897, 4.9842 Å; angles 90.00, 90.00, 90.00 degrees
Sites, in units of the cell vectors:
Ta1 0.0000 0.0000 0.0000
Sn1 0.5000 0.5000 0.5000
Se1 0.0000 0.0000 0.5000
Br1 0.0000 0.5000 0.0000
Br2 0.5000 0.0000 0.0000

***

Tc2AgW after structural relaxation. Source: Alexandria, functional PBEsol.

Calculated values
symmetry	Imm2 (44)
electronic total energy	-9.4899	eV/atom
formation energy	0.423	eV per atom

Cell lengths 3.8774, 3.8804, 7.8733 Å; angles 90.00, 90.00, 90.00 degrees
Sites, in units of the cell vectors:
Tc1 0.0000 0.0000 0.0000
Tc2 0.0000 0.5000 0.2388
Tc3 0.5000 0.0000 0.7388
Tc4 0.5000 0.5000 0.5000
Ag1 0.0000 0.0000 0.4897
Ag2 0.5000 0.5000 0.9897
W1 0.0000 0.5000 0.7387
W2 0.5000 0.0000 0.2387

***

Ca2TlHg after structural relaxation. Source: Alexandria, functional PBEsol.

Calculated values
symmetry	P4mm (99)
electronic total energy	-2.2373	eV/atom
formation energy	-0.371	eV per atom

Cell lengths 4.1535, 4.1535, 6.6918 Å; angles 90.00, 90.00, 90.00 degrees
Sites, in units of the cell vectors:
Ca1 0.0000 0.0000 0.0000
Ca2 0.5000 0.5000 0.3508
Tl1 0.5000 0.5000 0.8155
Hg1 0.0000 0.0000 0.5235

***

TaHgOs2 after structural relaxation. Source: Alexandria, functional PBEsol.

Calculated values
symmetry	I4/mmm (139)
electronic total energy	-9.0552	eV/atom
formation energy	0.332	eV per atom

Cell lengths 4.0832, 4.0832, 7.6394 Å; angles 90.00, 90.00, 90.00 degrees
Sites, in units of the cell vectors:
Ta1 0.0000 0.0000 0.0000
Ta2 0.5000 0.5000 0.5000
Hg1 0.0000 0.0000 0.5000
Hg2 0.5000 0.5000 0.0000
Os1 0.0000 0.5000 0.2500
Os2 0.0000 0.5000 0.7500
Os3 0.5000 0.0000 0.2500
Os4 0.5000 0.0000 0.7500

***

- Among the records above, which one has the lowest electronic total energy?
  Tc2AgW

***

Please write out number 1 again, unchanged.
TaSnSeBr2 after structural relaxation. Source: Alexandria, functional PBEsol.

Calculated values
symmetry	P4/mmm (123)
electronic total energy	-4.8770	eV/atom
formation energy from raw total energies	0.003	eV per atom

Cell lengths 5.0897, 5.0897, 4.9842 Å; angles 90.00, 90.00, 90.00 degrees
Sites, in units of the cell vectors:
Ta1 0.0000 0.0000 0.0000
Sn1 0.5000 0.5000 0.5000
Se1 0.0000 0.0000 0.5000
Br1 0.0000 0.5000 0.0000
Br2 0.5000 0.0000 0.0000

***

- Among the records above, which one has the lowest electronic total energy?
  Tc2AgW

***

- Among the records above, which one has the lowest electronic total energy?
  Tc2AgW